No. 1
{
  "formula": "Tl2BiO4",
  "functional": "PBE",
  "state": "relaxed",
  "raw_formation_energy_ev_per_atom": -0.791,
  "de_polymorph_mev_per_atom": 0.0,
  "total_magnetization_mub_per_atom": 0.00,
  "lattice": [[-6.8621, -1.1459, -1.4604], [-1.9230, -5.6012, -3.8705], [-3.4108, -5.4313, 2.9867]],
  "species": ["Tl", "Tl", "Tl", "Tl", "Bi", "Bi", "O", "O", "O", "O", "O", "O", "O", "O"],
  "fractional_positions": [[0.1257, 0.1243, 0.6243], [0.5000, 0.0000, 0.0000], [0.5000, 0.5000, 0.5000], [0.8743, 0.8757, 0.3757], [0.0000, 0.5000, 0.0000], [0.5000, 0.5000, 0.0000], [0.2663, 0.2532, 0.2143], [0.2663, 0.7143, 0.7532], [0.2689, 0.2614, 0.7614], [0.7083, 0.2614, 0.7614], [0.2917, 0.7386, 0.2386], [0.7337, 0.2857, 0.2468], [0.7311, 0.7386, 0.2386], [0.7337, 0.7468, 0.7857]]
}

=====

No. 2
{
  "formula": "HgSbMoI2",
  "functional": "PBE",
  "state": "relaxed",
  "raw_formation_energy_ev_per_atom": 0.985,
  "de_polymorph_mev_per_atom": 609.6,
  "total_magnetization_mub_per_atom": 1.11,
  "lattice": [[-2.3582, -5.0244, -2.6370], [3.6479, 0.5180, -4.2492], [4.0390, -3.4921, 3.0417]],
  "species": ["I", "I", "Sb", "Mo", "Hg"],
  "fractional_positions": [[0.0000, 0.0000, 0.5000], [0.5000, 0.0000, 0.0000], [0.0000, 0.0000, 0.0000], [0.5000, 0.5000, 0.5000], [0.0000, 0.5000, 0.0000]]
}

=====

No. 3
{
  "formula": "Ti5Al2Sn",
  "functional": "PBE",
  "state": "relaxed",
  "formation_energy_ev_per_atom": -0.28,
  "de_polymorph_mev_per_atom": 71.2,
  "total_magnetization_mub_per_atom": 0.00,
  "lattice": [[-5.0416, 4.1061, -2.5738], [-4.4050, -2.3346, 4.9038], [6.3795, 3.3419, 2.3354]],
  "species": ["Ti", "Ti", "Ti", "Ti", "Ti", "Ti", "Ti", "Ti", "Ti", "Ti", "Al", "Al", "Al", "Al", "Sn", "Sn"],
  "fractional_positions": [[0.4970, 0.6895, 0.6866], [0.8105, 0.0030, 0.3134], [0.0000, 0.0000, 0.0000], [0.5000, 0.5000, 0.0000], [0.1895, 0.9970, 0.6866], [0.6895, 0.1895, 0.6866], [0.9970, 0.4970, 0.6866], [0.3105, 0.8105, 0.3134], [0.0030, 0.5030, 0.3134], [0.5030, 0.3105, 0.3134], [0.1387, 0.3613, 0.0000], [0.6387, 0.1387, 0.0000], [0.3613, 0.8613, 0.0000], [0.8613, 0.6387, 0.0000], [0.7500, 0.7500, 0.5000], [0.2500, 0.2500, 0.5000]]
}

=====

No. 4
{
  "formula": "CoSiMo3",
  "functional": "PBE",
  "state": "relaxed",
  "raw_formation_energy_ev_per_atom": 1.182,
  "de_polymorph_mev_per_atom": 0.0,
  "total_magnetization_mub_per_atom": 0.00,
  "lattice": [[-4.1880, -1.0905, -0.8963], [-0.6598, -0.9684, 4.2613], [-1.2479, 4.1719, 0.7549]],
  "species": ["Mo", "Mo", "Mo", "Co", "Si"],
  "fractional_positions": [[0.0000, 0.5000, 0.0000], [0.0000, 0.0000, 0.5000], [0.5000, 0.0000, 0.0000], [0.0000, 0.0000, 0.0000], [0.5000, 0.5000, 0.5000]]
}

=====

No. 5
{
  "formula": "CsNaHfGa2",
  "functional": "PBE",
  "state": "relaxed",
  "formation_energy_ev_per_atom": 1.57,
  "total_magnetization_mub_per_atom": 0.00,
  "lattice": [[-1.4015, -0.6748, -5.6923], [3.1235, -4.6175, -0.2217], [-4.6844, -3.2426, 1.5377]],
  "species": ["Cs", "Na", "Hf", "Ga", "Ga"],
  "fractional_positions": [[0.0000, 0.0000, 0.0000], [0.5000, 0.5000, 0.5000], [0.0000, 0.5000, 0.0000], [0.0000, 0.0000, 0.5000], [0.5000, 0.0000, 0.0000]]
}

=====

No. 6
{
  "formula": "Sc2MnAl",
  "functional": "PBE",
  "state": "relaxed",
  "formation_energy_ev_per_atom": 0.08,
  "total_magnetization_mub_per_atom": 0.06,
  "lattice": [[-4.6979, -7.3429, -1.8716], [-2.9640, -7.1347, -4.4500], [-1.8143, -8.5182, -1.9079]],
  "species": ["Sc", "Sc", "Mn", "Al"],
  "fractional_positions": [[0.0106, 0.0106, 0.0106], [0.4894, 0.4894, 0.4894], [0.7500, 0.7500, 0.7500], [0.2500, 0.2500, 0.2500]]
}

=====

No. 7
{
  "formula": "NaOs2Ru2",
  "functional": "PBE",
  "state": "relaxed",
  "formation_energy_ev_per_atom": 0.35,
  "de_polymorph_mev_per_atom": 0.0,
  "total_magnetization_mub_per_atom": 0.00,
  "lattice": [[-2.1894, -0.4674, 7.3783], [5.4627, -5.2874, 1.2860], [1.7433, 1.9571, 0.6413]],
  "species": ["Ru", "Ru", "Ru", "Ru", "Os", "Os", "Os", "Os", "Na", "Na"],
  "fractional_positions": [[0.1678, 0.6678, 0.5000], [0.6678, 0.8322, 0.5000], [0.8322, 0.3322, 0.5000], [0.3322, 0.1678, 0.5000], [0.3795, 0.8795, 0.0000], [0.8795, 0.6205, 0.0000], [0.6205, 0.1205, 0.0000], [0.1205, 0.3795, 0.0000], [0.0000, 0.0000, 0.0000], [0.5000, 0.5000, 0.0000]]
}

=====

No. 8
{
  "formula": "LiCaCu",
  "functional": "PBE",
  "state": "relaxed",
  "formation_energy_ev_per_atom": 0.42,
  "de_polymorph_mev_per_atom": 496.0,
  "total_magnetization_mub_per_atom": 0.00,
  "lattice": [[4.8201, 0.0000, 0.0000], [2.4101, 4.1744, 0.0000], [2.4101, 1.3915, 3.9356]],
  "species": ["Ca", "Cu", "Li"],
  "fractional_positions": [[0.2500, 0.2500, 0.2500], [0.0000, 0.0000, 0.0000], [0.5000, 0.5000, 0.5000]]
}

=====

No. 9
{
  "formula": "CsKTl2Pd",
  "functional": "PBE",
  "state": "relaxed",
  "formation_energy_ev_per_atom": -0.02,
  "de_polymorph_mev_per_atom": 64.2,
  "total_magnetization_mub_per_atom": 0.00,
  "lattice": [[5.5148, 0.0000, 0.0000], [0.0000, 5.5148, 0.0000], [0.0000, 0.0000, 6.4099]],
  "species": ["Cs", "Tl", "Tl", "K", "Pd"],
  "fractional_positions": [[0.0000, 0.0000, 0.5000], [0.0000, 0.5000, 0.0000], [0.5000, 0.0000, 0.0000], [0.5000, 0.5000, 0.5000], [0.0000, 0.0000, 0.0000]]
}

=====

No. 10
{
  "formula": "Cs4Sc3PaSe8",
  "functional": "PBE",
  "state": "relaxed",
  "raw_formation_energy_ev_per_atom": -1.489,
  "total_magnetization_mub_per_atom": 0.11,
  "lattice": [[8.2408, 0.0000, 0.0000], [0.0000, 9.5673, 0.9289], [-4.1204, -4.1185, 5.8305]],
  "species": ["Cs", "Cs", "Cs", "Cs", "Sc", "Sc", "Sc", "Pa", "Se", "Se", "Se", "Se", "Se", "Se", "Se", "Se"],
  "fractional_positions": [[0.5000, 0.0000, 0.0000], [0.5000, 0.0000, 0.5000], [0.0000, 0.0000, 0.0000], [0.0000, 0.0000, 0.5000], [0.5000, 0.5000, 0.0000], [0.5000, 0.5000, 0.5000], [0.0000, 0.5000, 0.5000], [0.0000, 0.5000, 0.0000], [0.2319, 0.6818, 0.9503], [0.2317, 0.6819, 0.4634], [0.2746, 0.3244, 0.5493], [0.7183, 0.6818, 0.9503], [0.2817, 0.3182, 0.0497], [0.7254, 0.6756, 0.4507], [0.7683, 0.3181, 0.5366], [0.7681, 0.3182, 0.0497]]
}

=====

No. 11
{
  "formula": "Sr3LaSc",
  "functional": "PBE",
  "state": "relaxed",
  "formation_energy_ev_per_atom": 0.70,
  "de_polymorph_mev_per_atom": 0.0,
  "total_magnetization_mub_per_atom": 0.17,
  "lattice": [[-5.2724, 2.8591, -1.5295], [-3.0564, -3.4071, 4.1668], [1.0828, 4.3046, 4.3140]],
  "species": ["Sc", "Sr", "Sr", "Sr", "La"],
  "fractional_positions": [[0.0000, 0.0000, 0.0000], [0.0000, 0.5000, 0.0000], [0.0000, 0.0000, 0.5000], [0.5000, 0.0000, 0.0000], [0.5000, 0.5000, 0.5000]]
}

=====

No. 12
{
  "formula": "PuHf2Hg",
  "functional": "PBE",
  "state": "relaxed",
  "formation_energy_ev_per_atom": 0.07,
  "de_polymorph_mev_per_atom": 45.9,
  "total_magnetization_mub_per_atom": 1.28,
  "lattice": [[-2.7241, 1.6872, -0.5120], [-2.1999, 0.2872, 2.3680], [2.8925, 8.9508, 3.8248]],
  "species": ["Hf", "Hf", "Hg", "Pu"],
  "fractional_positions": [[0.2487, 0.2487, 0.2538], [0.7513, 0.7513, 0.7462], [0.5000, 0.5000, 0.5000], [0.0000, 0.0000, 0.0000]]
}

=====

No. 13
{
  "formula": "MnFe14Re",
  "functional": "PBE",
  "state": "relaxed",
  "formation_energy_ev_per_atom": 0.03,
  "total_magnetization_mub_per_atom": 2.00,
  "lattice": [[-0.6097, 0.2364, -4.9072], [4.5222, -1.7215, 1.0461], [-2.8719, -7.5482, -0.0068]],
  "species": ["Mn", "Fe", "Fe", "Fe", "Fe", "Fe", "Fe", "Fe", "Fe", "Fe", "Fe", "Fe", "Fe", "Fe", "Fe", "Re"],
  "fractional_positions": [[0.6250, 0.3750, 0.5000], [0.1249, 0.8751, 0.0000], [0.6249, 0.3751, 0.0000], [0.1250, 0.3750, 0.5000], [0.1248, 0.3751, 0.0000], [0.6250, 0.8750, 0.5000], [0.6249, 0.8752, 0.0000], [0.3785, 0.1284, 0.7528], [0.3785, 0.1284, 0.2472], [0.8716, 0.6215, 0.7528], [0.8716, 0.6215, 0.2472], [0.3749, 0.6251, 0.7515], [0.3749, 0.6251, 0.2485], [0.8752, 0.1248, 0.7515], [0.8752, 0.1248, 0.2485], [0.1250, 0.8750, 0.5000]]
}

=====

No. 14
{
  "formula": "Ho2BiSe",
  "functional": "PBE",
  "state": "relaxed",
  "raw_formation_energy_ev_per_atom": -1.255,
  "de_polymorph_mev_per_atom": 0.0,
  "total_magnetization_mub_per_atom": 0.00,
  "lattice": [[4.2574, -0.0005, -0.0023], [-2.1279, 3.6874, 0.0023], [-2.1209, -1.2334, 6.9730]],
  "species": ["Ho", "Ho", "Bi", "Se"],
  "fractional_positions": [[0.5148, 0.2571, 0.7720], [0.4852, 0.7429, 0.2280], [0.0000, 0.5000, 0.5000], [0.0000, 0.0000, 0.0000]]
}

=====

No. 15
{
  "formula": "KBAu",
  "functional": "PBE",
  "state": "relaxed",
  "formation_energy_ev_per_atom": 0.08,
  "total_magnetization_mub_per_atom": 0.00,
  "lattice": [[-1.2801, 0.6001, -2.9435], [6.8281, -2.8546, -1.7402], [-3.4708, -4.3875, 0.6150]],
  "species": ["K", "K", "B", "B", "Au", "Au"],
  "fractional_positions": [[0.1230, 0.2460, 0.9491], [0.8770, 0.7540, 0.0509], [0.2612, 0.5223, 0.5086], [0.7388, 0.4777, 0.4914], [0.5821, 0.1641, 0.4289], [0.4179, 0.8359, 0.5711]]
}

=====

No. 16
{
  "formula": "Nb2CrCu",
  "functional": "PBE",
  "state": "relaxed",
  "formation_energy_ev_per_atom": 0.09,
  "de_polymorph_mev_per_atom": 0.0,
  "total_magnetization_mub_per_atom": 0.00,
  "lattice": [[-1.1321, -2.1794, -1.9958], [1.5884, -2.2511, 1.5572], [-4.7761, -0.8523, 3.6399]],
  "species": ["Cr", "Nb", "Nb", "Cu"],
  "fractional_positions": [[0.5000, 0.5000, 0.0000], [0.0000, 0.0000, 0.7572], [0.0000, 0.0000, 0.2428], [0.5000, 0.5000, 0.5000]]
}

=====

No. 17
{
  "formula": "LiSc2MnNi",
  "functional": "PBE",
  "state": "relaxed",
  "formation_energy_ev_per_atom": 0.81,
  "total_magnetization_mub_per_atom": 0.00,
  "lattice": [[4.7158, 0.0000, 0.0000], [0.0000, 3.6972, 0.0000], [0.0000, 0.0000, 4.7158]],
  "species": ["Sc", "Sc", "Ni", "Mn", "Li"],
  "fractional_positions": [[0.0000, 0.0000, 0.5000], [0.5000, 0.0000, 0.0000], [0.0000, 0.5000, 0.0000], [0.5000, 0.5000, 0.5000], [0.0000, 0.0000, 0.0000]]
}

=====

No. 18
{
  "formula": "Sm4Y2Mg",
  "functional": "PBE",
  "state": "relaxed",
  "formation_energy_ev_per_atom": 0.13,
  "de_polymorph_mev_per_atom": 32.7,
  "total_magnetization_mub_per_atom": 0.00,
  "lattice": [[3.6755, 0.0000, 0.0001], [0.0001, 5.3951, -2.5528], [-0.0002, 0.8117, 11.5333]],
  "species": ["Sm", "Sm", "Sm", "Sm", "Y", "Y", "Mg"],
  "fractional_positions": [[0.5000, 0.1817, 0.2485], [0.5000, 0.8183, 0.7515], [0.0000, 0.3470, 0.7972], [0.0000, 0.6530, 0.2028], [0.0000, 0.5000, 0.5000], [0.5000, 0.0000, 0.5000], [0.0000, 0.0000, 0.0000]]
}

=====

No. 19
{
  "formula": "LiNdPa2O8",
  "functional": "PBE",
  "state": "relaxed",
  "raw_formation_energy_ev_per_atom": -2.625,
  "total_magnetization_mub_per_atom": 0.17,
  "lattice": [[5.6540, 0.0000, 0.0000], [-2.8270, 4.8965, 0.0000], [0.0000, 0.0000, 5.7468]],
  "species": ["Li", "Nd", "Pa", "Pa", "O", "O", "O", "O", "O", "O", "O", "O"],
  "fractional_positions": [[0.0000, 0.0000, 0.0000], [0.0000, 0.0000, 0.5000], [0.6667, 0.3333, 0.0979], [0.3333, 0.6667, 0.9021], [0.9405, 0.6636, 0.8245], [0.3364, 0.2769, 0.8245], [0.7231, 0.0595, 0.8245], [0.0595, 0.3364, 0.1755], [0.6636, 0.7231, 0.1755], [0.2769, 0.9405, 0.1755], [0.6667, 0.3333, 0.4410], [0.3333, 0.6667, 0.5590]]
}

=====

No. 20
{
  "formula": "MnTl2As",
  "functional": "PBE",
  "state": "relaxed",
  "formation_energy_ev_per_atom": 0.09,
  "de_polymorph_mev_per_atom": 8.8,
  "total_magnetization_mub_per_atom": 0.91,
  "lattice": [[-0.3933, -6.6415, 5.0402], [0.9711, -8.0659, 1.9147], [3.1605, -0.0048, 1.3819]],
  "species": ["As", "Mn", "Tl", "Tl"],
  "fractional_positions": [[0.7500, 0.7500, 0.7500], [0.2500, 0.2500, 0.2500], [0.0798, 0.0798, 0.9220], [0.4202, 0.4202, 0.5780]]
}

=====

No. 21
{
  "formula": "ReC2",
  "functional": "PBE",
  "state": "relaxed",
  "formation_energy_ev_per_atom": 1.58,
  "de_polymorph_mev_per_atom": 1140.9,
  "total_magnetization_mub_per_atom": 0.00,
  "lattice": [[1.4847, -5.2457, 0.0000], [1.4847, 5.2457, 0.0000], [0.0000, 0.0000, 3.9682]],
  "species": ["Re", "Re", "C", "C", "C", "C"],
  "fractional_positions": [[0.3170, 0.6830, 0.7500], [0.6830, 0.3170, 0.2500], [0.6569, 0.3431, 0.7500], [0.9625, 0.0375, 0.7500], [0.0375, 0.9625, 0.2500], [0.3431, 0.6569, 0.2500]]
}

=====

No. 22
{
  "formula": "MgFeOs",
  "functional": "PBE",
  "state": "relaxed",
  "formation_energy_ev_per_atom": 0.23,
  "de_polymorph_mev_per_atom": 96.0,
  "total_magnetization_mub_per_atom": 0.68,
  "lattice": [[-0.2359, 0.3206, 2.7213], [-2.2546, -0.2300, -1.5581], [0.1278, -6.5806, 0.7864]],
  "species": ["Fe", "Mg", "Os"],
  "fractional_positions": [[0.0000, 0.0000, 0.9844], [0.3333, 0.6667, 0.3287], [0.6667, 0.3333, 0.6869]]
}